No. 1
Density functional theory data (PBE) for TlTe2Pb after structural relaxation.

Cell and atoms, written as CIF:
```
data_TlTe2Pb
_space_group_name_H-M_alt 'F -4 3 m'
_space_group_IT_number 216
_space_group_name_Hall 'F -4 2 3'
_cell_length_a 7.935
_cell_length_b 7.935
_cell_length_c 7.935
_cell_angle_alpha 90.00
_cell_angle_beta 90.00
_cell_angle_gamma 90.00
loop_
_atom_site_label
_atom_site_type_symbol
_atom_site_fract_x
_atom_site_fract_y
_atom_site_fract_z
Tl1 Tl 0.000 0.000 0.000
Te1 Te 0.000 0.000 0.500
Te2 Te 0.250 0.250 0.250
Pb1 Pb 0.250 0.250 0.750
```

Calculated values
Final energy = -0.2243 Ry per atom
V = 31.22 Å³/atom
E_form (uncorrected) = 15 kJ/mol of formula units

***

No. 2
Density functional theory data (PBE) for K3SrMo after structural relaxation.

Cell and atoms, written as CIF:
```
data_K3SrMo
_space_group_name_H-M_alt 'P m -3 m'
_space_group_IT_number 221
_space_group_name_Hall '-P 4 2 3'
_cell_length_a 7.666
_cell_length_b 7.666
_cell_length_c 7.666
_cell_angle_alpha 90.00
_cell_angle_beta 90.00
_cell_angle_gamma 90.00
loop_
_atom_site_label
_atom_site_type_symbol
_atom_site_fract_x
_atom_site_fract_y
_atom_site_fract_z
K1 K 0.000 0.000 0.500
Sr1 Sr 0.000 0.000 0.000
Mo1 Mo 0.500 0.500 0.500
```

Calculated values
Final energy = -0.1190 Ry per atom
Energy of formation from the pure elements = 7.713 eV/f.u.
ΔE to the lowest computed polymorph = 421.0 meV/atom
V = 90.09 Å³/atom

***

No. 3
Density functional theory data (PBE) for CdInSn2 after structural relaxation.

Cell and atoms, written as CIF:
```
data_CdInSn2
_space_group_name_H-M_alt 'F m -3 m'
_space_group_IT_number 225
_space_group_name_Hall '-F 4 2 3'
_cell_length_a 7.524
_cell_length_b 7.524
_cell_length_c 7.524
_cell_angle_alpha 90.00
_cell_angle_beta 90.00
_cell_angle_gamma 90.00
loop_
_atom_site_label
_atom_site_type_symbol
_atom_site_fract_x
_atom_site_fract_y
_atom_site_fract_z
Cd1 Cd 0.000 0.000 0.000
In1 In 0.000 0.000 0.500
Sn1 Sn 0.250 0.250 0.250
```

Calculated values
Final energy = -0.2085 Ry per atom
Energy of formation from the pure elements = 0.312 eV/f.u.
ΔE to the lowest computed polymorph = 35.1 meV/atom
V = 26.62 Å³/atom